Record 1
Density functional theory data (PBE) for a relaxed YEr12Tm7 crystal.

```
YEr12Tm7
1.0
6.3283 3.6536 4.4911
-6.3283 3.6536 4.4911
0.0000 -7.3073 4.4911
Y Er Tm
1 12 7
Direct
0.0000 0.0000 0.0000
0.1480 0.4164 0.4783
0.1869 0.7499 0.3138
0.2501 0.6862 0.8131
0.3138 0.1869 0.7499
0.4164 0.4783 0.1480
0.4783 0.1480 0.4164
0.5217 0.8520 0.5836
0.5836 0.5217 0.8520
0.6862 0.8131 0.2501
0.7499 0.3138 0.1869
0.8131 0.2501 0.6862
0.8520 0.5836 0.5217
0.0205 0.0832 0.3526
0.0832 0.3526 0.0205
0.3526 0.0205 0.0832
0.5000 0.5000 0.5000
0.6474 0.9795 0.9168
0.9168 0.6474 0.9795
0.9795 0.9168 0.6474
```

Properties
polymorph energy (0 for the lowest one) = 0 meV/atom
ΔE_f = 0.32 eV/atom
symmetry = No. 148

Record 2
Density functional theory data (PBE) for a relaxed CaReIr2 crystal.

```
CaReIr2
1.0
4.2355 0.0000 0.0000
0.0000 4.2355 0.0000
0.0000 0.0000 3.7047
Ca Re Ir
1 1 2
Direct
0.0000 0.0000 0.0000
0.5000 0.5000 0.0000
0.0000 0.5000 0.5000
0.5000 0.0000 0.5000
```

Properties
polymorph energy (0 for the lowest one) = 334 meV/atom
ΔE_f = 0.37 eV/atom
symmetry = No. 123

Record 3
Density functional theory data (PBE) for a relaxed HgH3Pd crystal.

```
HgH3Pd
1.0
3.7756 0.0000 0.0000
0.0000 3.7756 0.0000
0.0000 0.0000 3.7756
Hg H Pd
1 3 1
Direct
0.0000 0.0000 0.0000
0.0000 0.0000 0.5000
0.0000 0.5000 0.0000
0.5000 0.0000 0.0000
0.5000 0.5000 0.5000
```

Properties
polymorph energy (0 for the lowest one) = 420 meV/atom
symmetry = No. 221

Record 4
Density functional theory data (PBE) for a relaxed Sc8BiOs2 crystal.

```
Sc8BiOs2
1.0
8.1028 -2.4269 0.0000
8.1028 2.4269 0.0000
-2.7715 0.0000 6.1092
Sc Bi Os
8 1 2
Direct
0.0000 0.0000 0.0000
0.1168 0.1168 0.6634
0.2893 0.2893 0.1533
0.3276 0.3276 0.7483
0.5010 0.5010 0.2561
0.6733 0.6733 0.0934
0.7121 0.7121 0.5749
0.8850 0.8850 0.4298
0.5004 0.5004 0.6915
0.1711 0.1711 0.3446
0.8292 0.8292 0.0026
```

Properties
ΔE_f = -0.31 eV/atom
symmetry = No. 8

Record 5
Density functional theory data (PBE) for a relaxed YSc7In4 crystal.

```
YSc7In4
1.0
6.7948 -2.6436 0.0000
6.7948 2.6436 0.0000
-5.7942 0.0000 8.3959
Y Sc In
1 7 4
Direct
0.0000 0.0000 0.0000
0.0585 0.0585 0.3895
0.2165 0.2165 0.8732
0.2992 0.2992 0.3639
0.5000 0.5000 0.0000
0.7008 0.7008 0.6361
0.7835 0.7835 0.1268
0.9415 0.9415 0.6105
0.3149 0.3149 0.6680
0.4310 0.4310 0.2267
0.5690 0.5690 0.7733
0.6851 0.6851 0.3320
```

Properties
ΔE_f = -0.07 eV/atom
symmetry = No. 12

Record 6
Density functional theory data (PBE) for a relaxed LaCe4Zn5 crystal.

```
LaCe4Zn5
1.0
3.2341 0.0000 0.0000
0.0000 3.2341 0.0000
0.0000 0.0000 21.8865
La Ce Zn
1 4 5
Direct
0.0000 0.0000 0.0000
0.0000 0.0000 0.2029
0.0000 0.0000 0.4011
0.0000 0.0000 0.5989
0.0000 0.0000 0.7971
0.5000 0.5000 0.1050
0.5000 0.5000 0.3022
0.5000 0.5000 0.5000
0.5000 0.5000 0.6978
0.5000 0.5000 0.8950
```

Properties
ΔE_f = -0.19 eV/atom
symmetry = No. 123